(1)
{
  "formula": "TbSmYHo2",
  "functional": "PBE-GGA",
  "state": "optimized geometry",
  "final_energy_ev_per_cell": -46.061,
  "dos_ef_per_ev_cell": 15.1,
  "ef_ev_per_atom": 0.3877,
  "mass_density_g_cm3": 7.01,
  "lattice_angstrom": [[7.186, 0.000, 0.000], [0.000, 8.362, 0.000], [0.000, -4.181, 5.739]],
  "species": ["Tb", "Tb", "Sm", "Sm", "Y", "Y", "Ho", "Ho", "Ho", "Ho"],
  "fractional_positions": [[0.250, 0.987, 0.974], [0.750, 0.013, 0.026], [0.250, 0.720, 0.439], [0.750, 0.280, 0.561], [0.750, 0.731, 0.461], [0.250, 0.269, 0.539], [0.500, 0.310, 0.000], [0.000, 0.690, 0.000], [0.500, 0.690, 0.000], [0.000, 0.310, 0.000]]
}



(2)
{
  "formula": "Tb2SmY4Ho2",
  "functional": "PBE-GGA",
  "state": "optimized geometry",
  "final_energy_ev_per_cell": -48.990,
  "dos_ef_per_ev_cell": 12.3,
  "ef_ev_per_atom": 0.0001,
  "mass_density_g_cm3": 6.63,
  "lattice_angstrom": [[3.597, 0.000, 0.000], [-1.798, 9.325, -0.499], [0.000, -3.686, 8.817]],
  "species": ["Tb", "Tb", "Sm", "Y", "Y", "Y", "Y", "Ho", "Ho"],
  "fractional_positions": [[0.852, 0.703, 0.332], [0.148, 0.297, 0.668], [0.000, 0.000, 0.000], [0.814, 0.629, 0.666], [0.186, 0.371, 0.334], [0.519, 0.038, 0.335], [0.481, 0.962, 0.665], [0.333, 0.665, 0.000], [0.667, 0.335, 0.000]]
}



(3)
{
  "formula": "Tb2SmY5Ho",
  "functional": "PBE-GGA",
  "state": "optimized geometry",
  "final_energy_ev_per_cell": -96.792,
  "dos_ef_per_ev_cell": 23.4,
  "ef_ev_per_atom": 0.2757,
  "mass_density_g_cm3": 6.08,
  "lattice_angstrom": [[-3.850, 7.906, 0.998], [-7.967, -3.798, -0.647], [5.782, -3.055, 7.267]],
  "species": ["Tb", "Tb", "Tb", "Tb", "Sm", "Sm", "Y", "Y", "Y", "Y", "Y", "Y", "Y", "Y", "Y", "Y", "Ho", "Ho"],
  "fractional_positions": [[0.114, 0.386, 0.000], [0.614, 0.114, 0.000], [0.386, 0.886, 0.000], [0.886, 0.614, 0.000], [0.250, 0.250, 0.500], [0.750, 0.750, 0.500], [0.928, 0.428, 0.269], [0.660, 0.160, 0.731], [0.072, 0.572, 0.731], [0.160, 0.072, 0.731], [0.572, 0.660, 0.731], [0.840, 0.928, 0.269], [0.428, 0.340, 0.269], [0.340, 0.840, 0.269], [0.500, 0.500, 0.000], [0.000, 0.000, 0.000], [0.250, 0.750, 0.500], [0.750, 0.250, 0.500]]
}



(4)
{
  "formula": "Tb3Sm6YHo2",
  "functional": "PBE-GGA",
  "state": "optimized geometry",
  "final_energy_ev_per_cell": -57.665,
  "dos_ef_per_ev_cell": 14.8,
  "ef_ev_per_atom": 0.0134,
  "mass_density_g_cm3": 7.62,
  "lattice_angstrom": [[-1.885, -4.208, 4.182], [5.776, -0.276, -2.304], [2.482, 8.378, 8.011]],
  "species": ["Tb", "Tb", "Tb", "Sm", "Sm", "Sm", "Sm", "Sm", "Sm", "Y", "Ho", "Ho"],
  "fractional_positions": [[0.167, 0.833, 0.500], [0.833, 0.167, 0.500], [0.500, 0.500, 0.500], [0.916, 0.582, 0.751], [0.749, 0.749, 0.249], [0.084, 0.418, 0.249], [0.582, 0.916, 0.751], [0.251, 0.251, 0.751], [0.418, 0.084, 0.249], [0.000, 0.000, 0.000], [0.333, 0.667, 0.000], [0.667, 0.333, 0.000]]
}



(5)
{
  "formula": "TbSm6Y2Ho",
  "functional": "PBE-GGA",
  "state": "optimized geometry",
  "final_energy_ev_per_cell": -98.479,
  "dos_ef_per_ev_cell": 29.0,
  "ef_ev_per_atom": 0.1212,
  "mass_density_g_cm3": 6.97,
  "lattice_angstrom": [[9.146, -1.967, -2.042], [0.836, 8.635, -2.009], [0.836, -2.328, 8.555]],
  "species": ["Tb", "Tb", "Sm", "Sm", "Sm", "Sm", "Sm", "Sm", "Sm", "Sm", "Sm", "Sm", "Sm", "Sm", "Y", "Y", "Y", "Y", "Ho", "Ho"],
  "fractional_positions": [[0.250, 0.972, 0.028], [0.750, 0.028, 0.972], [0.056, 0.119, 0.759], [0.444, 0.241, 0.881], [0.944, 0.881, 0.241], [0.556, 0.759, 0.119], [0.313, 0.987, 0.435], [0.187, 0.565, 0.013], [0.687, 0.013, 0.565], [0.813, 0.435, 0.987], [0.118, 0.708, 0.488], [0.382, 0.512, 0.292], [0.882, 0.292, 0.512], [0.618, 0.488, 0.708], [0.454, 0.799, 0.700], [0.046, 0.300, 0.201], [0.546, 0.201, 0.300], [0.954, 0.700, 0.799], [0.250, 0.410, 0.590], [0.750, 0.590, 0.410]]
}



(6)
{
  "formula": "TbSm2Y6Ho2",
  "functional": "PBE-GGA",
  "state": "optimized geometry",
  "final_energy_ev_per_cell": -60.386,
  "dos_ef_per_ev_cell": 18.2,
  "ef_ev_per_atom": 0.1475,
  "mass_density_g_cm3": 6.06,
  "lattice_angstrom": [[-6.633, 0.528, 0.115], [4.165, 0.107, -5.189], [1.606, -11.168, 4.157]],
  "species": ["Tb", "Sm", "Sm", "Y", "Y", "Y", "Y", "Y", "Y", "Ho", "Ho"],
  "fractional_positions": [[0.000, 0.000, 0.500], [0.866, 0.134, 0.000], [0.134, 0.866, 0.000], [0.707, 0.707, 0.706], [0.139, 0.445, 0.791], [0.293, 0.293, 0.294], [0.445, 0.139, 0.791], [0.861, 0.555, 0.209], [0.555, 0.861, 0.209], [0.295, 0.705, 0.500], [0.705, 0.295, 0.500]]
}



(7)
{
  "formula": "Tb3Sm2YHo6",
  "functional": "PBE-GGA",
  "state": "optimized geometry",
  "final_energy_ev_per_cell": -57.058,
  "dos_ef_per_ev_cell": 15.4,
  "ef_ev_per_atom": 0.0168,
  "mass_density_g_cm3": 8.10,
  "lattice_angstrom": [[-0.452, 2.484, -5.614], [-2.087, -5.701, 1.015], [-9.567, 5.365, 4.265]],
  "species": ["Tb", "Tb", "Tb", "Sm", "Sm", "Y", "Ho", "Ho", "Ho", "Ho", "Ho", "Ho"],
  "fractional_positions": [[0.167, 0.833, 0.500], [0.833, 0.167, 0.500], [0.500, 0.500, 0.500], [0.333, 0.667, 0.000], [0.667, 0.333, 0.000], [0.000, 0.000, 0.000], [0.916, 0.582, 0.749], [0.751, 0.751, 0.252], [0.084, 0.418, 0.251], [0.582, 0.916, 0.749], [0.249, 0.249, 0.748], [0.418, 0.084, 0.251]]
}



(8)
{
  "formula": "TbSmY3Ho",
  "functional": "PBE-GGA",
  "state": "optimized geometry",
  "final_energy_ev_per_cell": -66.391,
  "dos_ef_per_ev_cell": 16.8,
  "ef_ev_per_atom": 0.0206,
  "mass_density_g_cm3": 6.37,
  "lattice_angstrom": [[5.048, 0.000, 0.000], [-2.524, 7.579, 0.000], [0.000, 0.000, 10.099]],
  "species": ["Tb", "Tb", "Sm", "Sm", "Y", "Y", "Y", "Y", "Y", "Y", "Ho", "Ho"],
  "fractional_positions": [[0.499, 0.999, 0.750], [0.501, 0.001, 0.250], [0.000, 0.000, 0.500], [0.000, 0.000, 0.000], [0.667, 0.333, 0.500], [0.333, 0.667, 0.500], [0.333, 0.667, 0.000], [0.667, 0.333, 0.000], [0.167, 0.334, 0.750], [0.833, 0.666, 0.250], [0.834, 0.668, 0.750], [0.166, 0.332, 0.250]]
}